A plane-wave DFT calculation with PBE was carried out for an optimized crystal structure of BaLa2Mo.

Geometry as POSCAR:
```
BaLa2Mo
1.0
5.1701 0.0000 0.0000
0.0000 5.2414 0.0000
0.0000 0.0000 10.1588
Ba La Mo
2 4 2
Cartesian
0.0000 0.0000 0.0000
2.5850 2.6207 0.0000
0.0000 2.6207 3.3444
0.0000 2.6207 6.8144
2.5850 0.0000 3.3444
2.5850 0.0000 6.8144
0.0000 0.0000 5.0794
2.5850 2.6207 5.0794
```

**Density of states at the Fermi level**: 11.72 states/eV per cell
**VASP energy**: -5.30 eV/atom
**E_form**: 136.5 kJ/mol of formula units
**Symmetry**: Cmmm, No. 65
**Polymorph energy (0 for the lowest one)**: 0 meV per atom